1.
This record from Alexandria via LeMat-Bulk describes a geometry-optimized AlSiTc4 structure. The functional is PBE-GGA.

CIF file:
```
data_AlSiTc4
_chemical_formula_sum 'Al4 Si4 Tc16'
_cell_length_a 7.212
_cell_length_b 7.212
_cell_length_c 7.212
_cell_angle_alpha 90.00
_cell_angle_beta 90.00
_cell_angle_gamma 90.00
_space_group_name_H-M_alt 'F -4 3 m'
_space_group_IT_number 216
_space_group_name_Hall 'F -4 2 3'
loop_
_atom_site_label
_atom_site_type_symbol
_atom_site_fract_x
_atom_site_fract_y
_atom_site_fract_z
Al1 Al 0.000 0.000 0.000
Si1 Si 0.250 0.250 0.750
Tc1 Tc 0.125 0.125 0.375
```

Properties
total energy: -8.08 eV/atom
DOS(E_F): 6.3 states/eV/f.u.

2.
This record from Alexandria via LeMat-Bulk describes a geometry-optimized BiHNF2 structure. The functional is PBE-GGA.

CIF file:
```
data_BiHNF2
_chemical_formula_sum 'Bi1 H1 N1 F2'
_cell_length_a 3.524
_cell_length_b 3.524
_cell_length_c 4.133
_cell_angle_alpha 90.00
_cell_angle_beta 90.00
_cell_angle_gamma 90.00
_space_group_name_H-M_alt 'P 4/m m m'
_space_group_IT_number 123
_space_group_name_Hall '-P 4 2'
loop_
_atom_site_label
_atom_site_type_symbol
_atom_site_fract_x
_atom_site_fract_y
_atom_site_fract_z
Bi1 Bi 0.000 0.000 0.000
H1 H 0.500 0.500 0.500
N1 N 0.500 0.500 0.000
F1 F 0.000 0.500 0.500
```

Properties
distance to the lowest polymorph of the same formula: 0 meV per atom
DOS(E_F): 1.1 states/eV/f.u.

3.
This record from Alexandria via LeMat-Bulk describes a geometry-optimized BaTaOs2 structure. The functional is PBE-GGA.

CIF file:
```
data_BaTaOs2
_chemical_formula_sum 'Ba2 Ta2 Os4'
_cell_length_a 9.861
_cell_length_b 3.200
_cell_length_c 6.190
_cell_angle_alpha 90.00
_cell_angle_beta 104.02
_cell_angle_gamma 90.00
_space_group_name_H-M_alt 'C 1 m 1'
_space_group_IT_number 8
_space_group_name_Hall 'C -2y'
loop_
_atom_site_label
_atom_site_type_symbol
_atom_site_fract_x
_atom_site_fract_y
_atom_site_fract_z
Ba1 Ba 0.000 0.000 0.000
Ta1 Ta 0.306 0.500 0.384
Os1 Os 0.015 0.500 0.534
Os2 Os 0.230 0.000 0.643
```

Properties
formation energy from the elements: 0.64 eV/atom
distance to the lowest polymorph of the same formula: 291 meV per atom
DOS(E_F): 3.6 states/eV/f.u.

4.
This record from Alexandria via LeMat-Bulk describes a geometry-optimized Ti3Mo2W2 structure. The functional is PBE-GGA.

CIF file:
```
data_Ti3Mo2W2
_chemical_formula_sum 'Ti6 Mo4 W4'
_cell_length_a 7.820
_cell_length_b 4.518
_cell_length_c 6.869
_cell_angle_alpha 90.00
_cell_angle_beta 112.36
_cell_angle_gamma 90.00
_space_group_name_H-M_alt 'C 1 2/m 1'
_space_group_IT_number 12
_space_group_name_Hall '-C 2y'
loop_
_atom_site_label
_atom_site_type_symbol
_atom_site_fract_x
_atom_site_fract_y
_atom_site_fract_z
Ti1 Ti 0.000 0.000 0.000
Ti2 Ti 0.147 0.000 0.440
Mo1 Mo 0.216 0.500 0.147
W1 W 0.073 0.500 0.718
```

Properties
formation energy from the elements: -0.10 eV/atom
DOS(E_F): 8.7 states/eV/f.u.

Question: Look up the DOS(E_F) of the first one.
Answer: 6.3 states/eV/f.u.

Question: Among the records above, which one has the highest DOS(E_F)?
Answer: Ti3Mo2W2